A relaxed ScTl crystal, computed with PBEsol.

Values from the calculation:
Electronic total energy ... -39.316 eV per cell
Spin magnetization ... 0.00 μB per cell
Space-group type ... I4_1/amd
Crystal system ... tetragonal
E_form ... -296.8 meV per atom

Lattice parameters (Å, degrees): 4.218 4.218 10.220 90.00 90.00 90.00
Fractional coordinates of all 8 atoms:
Sc (0.000, 0.250, 0.375)
Sc (0.000, 0.750, 0.625)
Sc (0.500, 0.250, 0.125)
Sc (0.500, 0.750, 0.875)
Tl (0.000, 0.250, 0.875)
Tl (0.000, 0.750, 0.125)
Tl (0.500, 0.250, 0.625)
Tl (0.500, 0.750, 0.375)

A relaxed CoCuPt2 crystal, computed with PBEsol.

Values from the calculation:
Electronic total energy ... -26.107 eV per cell
Spin magnetization ... 2.51 μB per cell
Space-group type ... Pmm2
Crystal system ... orthorhombic
E_form ... -27.2 meV per atom

Lattice parameters (Å, degrees): 2.681 3.728 5.277 90.00 90.00 90.00
Fractional coordinates of all 4 atoms:
Co (0.000, 0.000, 0.000)
Cu (0.500, 0.500, 0.251)
Pt (0.000, 0.000, 0.484)
Pt (0.500, 0.500, 0.775)

A relaxed Re2AgSb crystal, computed with PBEsol.

Values from the calculation:
Electronic total energy ... -125.257 eV per cell
Spin magnetization ... 0.03 μB per cell
Space-group type ... F-43m
Formation energy from raw total energies ... 805 meV per atom
Crystal system ... cubic

Lattice parameters (Å, degrees): 6.422 6.422 6.422 90.00 90.00 90.00
Fractional coordinates of all 16 atoms:
Re (0.000, 0.000, 0.000)
Re (0.000, 0.500, 0.500)
Re (0.250, 0.250, 0.250)
Re (0.250, 0.750, 0.750)
Re (0.500, 0.000, 0.500)
Re (0.500, 0.500, 0.000)
Re (0.750, 0.250, 0.750)
Re (0.750, 0.750, 0.250)
Ag (0.000, 0.000, 0.500)
Ag (0.000, 0.500, 0.000)
Ag (0.500, 0.000, 0.000)
Ag (0.500, 0.500, 0.500)
Sb (0.250, 0.250, 0.750)
Sb (0.250, 0.750, 0.250)
Sb (0.750, 0.250, 0.250)
Sb (0.750, 0.750, 0.750)

A relaxed SnWSN2 crystal, computed with PBEsol.

Values from the calculation:
Electronic total energy ... -39.327 eV per cell
Spin magnetization ... 0.00 μB per cell
Space-group type ... P4/mmm
Formation energy from raw total energies ... 36 meV per atom
Crystal system ... tetragonal

Lattice parameters (Å, degrees): 3.955 3.955 4.862 90.00 90.00 90.00
Fractional coordinates of all 5 atoms:
Sn (0.000, 0.000, 0.000)
W (0.500, 0.500, 0.500)
S (0.500, 0.500, 0.000)
N (0.000, 0.500, 0.500)
N (0.500, 0.000, 0.500)